# 1
Density functional theory data (PBE) for a relaxed structure of NdErGe.

Cell and atoms, written as POSCAR:
```
NdErGe
1.0
-2.330 2.316 2.122
-2.422 0.358 -3.050
-0.177 -5.332 2.022
Er Ge Nd
1 1 1
Direct
0.975 0.975 0.951
0.604 0.604 0.208
0.271 0.271 0.542
```

Properties
V in Å³/atom: 25.440
Size of the total moment in μB/f.u.: 0.0
Excess energy over the best structure of this formula in the dataset in meV/atom: 122.2

# 2
Density functional theory data (PBE) for a relaxed structure of LaCd2NiSn.

Cell and atoms, written as POSCAR:
```
LaCd2NiSn
1.0
4.972 0.000 0.000
0.000 4.972 0.000
0.000 0.000 4.952
La Sn Cd Ni
1 1 2 1
Direct
0.500 0.500 0.500
0.000 0.000 0.500
0.000 0.500 0.000
0.500 0.000 0.000
0.000 0.000 0.000
```

Properties
V in Å³/atom: 24.485
Size of the total moment in μB/f.u.: 0.0
Calculated total energy in eV per atom: -3.572

Please write out number 1 again, unchanged.
Density functional theory data (PBE) for a relaxed structure of NdErGe.

Cell and atoms, written as POSCAR:
```
NdErGe
1.0
-2.330 2.316 2.122
-2.422 0.358 -3.050
-0.177 -5.332 2.022
Er Ge Nd
1 1 1
Direct
0.975 0.975 0.951
0.604 0.604 0.208
0.271 0.271 0.542
```

Properties
V in Å³/atom: 25.440
Size of the total moment in μB/f.u.: 0.0
Excess energy over the best structure of this formula in the dataset in meV/atom: 122.2